A geometry-optimized LiScZn17 structure, computed with PBE-GGA.

Summary:
- formation enthalpy at 0 K (eV/atom) = -0.10

Lattice parameters (Å, degrees): 6.7394 6.7394 6.7394 82.45 82.45 82.45
Last column: nearest neighbours and their distance in Å.
Fractional positions:
1 Zn 0.8336 0.3524 0.3524  8 Zn 2.51-2.74
2 Zn 0.0013 0.3034 0.6910  8 Zn 2.58-2.76
3 Zn 0.9944 0.5013 0.9944  10 Zn 2.58-2.71
4 Zn 0.0013 0.6910 0.3034  8 Zn 2.58-2.76
5 Zn 0.9944 0.9944 0.5013  10 Zn 2.58-2.71
6 Zn 0.6910 0.3034 0.0013  8 Zn 2.58-2.76
7 Zn 0.8987 0.8987 0.8987  7 Zn 2.68-2.83
8 Zn 0.3034 0.6910 0.0013  8 Zn 2.58-2.76
9 Zn 0.3524 0.8336 0.3524  8 Zn 2.51-2.74
10 Zn 0.1043 0.1043 0.1043  7 Zn 2.70-2.84
11 Zn 0.1604 0.6480 0.6480  8 Zn 2.51-2.75
12 Zn 0.6480 0.1604 0.6480  8 Zn 2.51-2.75
13 Zn 0.5013 0.9944 0.9944  10 Zn 2.58-2.71
14 Zn 0.3034 0.0013 0.6910  8 Zn 2.58-2.76
15 Zn 0.3524 0.3524 0.8336  8 Zn 2.51-2.74
16 Zn 0.6480 0.6480 0.1604  8 Zn 2.51-2.75
17 Zn 0.6910 0.0013 0.3034  8 Zn 2.58-2.76
18 Sc 0.6649 0.6649 0.6649  19 Zn 3.07-3.43
19 Li 0.3560 0.3560 0.3560  13 Zn 3.02-3.30


A geometry-optimized DyThSc2Se4 structure, computed with PBE-GGA.

Summary:
- ΔE_f (raw) (meV/atom) = -1593.6

Lattice parameters (Å, degrees): 3.9585 7.0543 6.9125 71.15 90.00 90.00
Last column: nearest neighbours and their distance in Å.
Fractional positions:
1 Se 0.0000 0.2241 0.2650  3 Sc 2.72-2.78, 1 Dy 2.91, 2 Th 2.96
2 Se 0.5000 0.7706 0.2491  3 Sc 2.73-2.77, 2 Dy 2.90, 1 Th 2.96
3 Se 0.5000 0.2294 0.7509  3 Sc 2.73-2.77, 2 Dy 2.90, 1 Th 2.96
4 Se 0.0000 0.7759 0.7350  3 Sc 2.72-2.78, 1 Dy 2.91, 2 Th 2.96
5 Th 0.5000 0.5000 0.0000  6 Se 2.96
6 Sc 0.0000 0.0000 0.0000  6 Se 2.77-2.78
7 Sc 0.5000 0.0000 0.5000  6 Se 2.72-2.73
8 Dy 0.0000 0.5000 0.5000  6 Se 2.90-2.91


A geometry-optimized AcGdNiAg structure, computed with PBE-GGA.

Summary:
- formation enthalpy at 0 K (eV/atom) = -0.18

Lattice parameters (Å, degrees): 5.2379 5.2379 5.2379 60.00 60.00 60.00
Last column: nearest neighbours and their distance in Å.
Fractional positions:
1 Ag 0.2500 0.2500 0.2500  4 Gd 3.21, 4 Ac 3.21
2 Ni 0.7500 0.7500 0.7500  4 Gd 3.21, 4 Ac 3.21
3 Ac 0.5000 0.5000 0.5000  4 Ni 3.21, 4 Ag 3.21
4 Gd 0.0000 0.0000 0.0000  4 Ag 3.21, 4 Ni 3.21


A geometry-optimized PuPPd structure, computed with PBE-GGA.

Summary:
- formation enthalpy at 0 K (eV/atom) = -0.51

Lattice parameters (Å, degrees): 3.7903 3.7903 4.9062 112.72 112.72 90.00
Last column: nearest neighbours and their distance in Å.
Fractional positions:
1 Pu 0.9480 0.9480 0.8960  5 Pd 2.81-2.98, 5 P 2.86-2.96
2 Pd 0.6058 0.6058 0.2116  1 P 2.54, 1 Pu 2.81
3 P 0.2962 0.2962 0.5924  1 Pd 2.54


Number 1: M_tot 0.000 μB per atom. Number 2: M_tot 0.000 μB per atom. Number 3: M_tot 1.797 μB per atom. Number 4: M_tot 1.664 μB per atom.